Entry 1:
Pm4DyHo8 | PBE | relaxed

a = 9.9323 Å, b = 9.9323 Å, c = 9.9323 Å
α = 43.62°, β = 43.62°, γ = 43.62°
Atoms (fractional coordinates):
Pm 0.0000 0.0000 0.0000
Pm 0.0000 0.5000 0.5000
Pm 0.5000 0.0000 0.5000
Pm 0.5000 0.5000 0.0000
Dy 0.5000 0.5000 0.5000
Ho 0.1896 0.7496 0.7496
Ho 0.2173 0.2173 0.2173
Ho 0.2504 0.2504 0.8104
Ho 0.2504 0.8104 0.2504
Ho 0.7496 0.1896 0.7496
Ho 0.7496 0.7496 0.1896
Ho 0.7827 0.7827 0.7827
Ho 0.8104 0.2504 0.2504

calculated total energy = -57.49 eV per cell


Entry 2:
LaMnAu3 | PBE | relaxed

a = 5.6013 Å, b = 5.6013 Å, c = 5.6013 Å
α = 90.00°, β = 90.00°, γ = 90.00°
Atoms (fractional coordinates):
La 0.0000 0.0000 0.0000
Mn 0.5000 0.5000 0.5000
Au 0.0000 0.0000 0.5000
Au 0.0000 0.5000 0.0000
Au 0.5000 0.0000 0.0000

energy above the lowest structure with this stoichiometry = 0.828 eV per atom
calculated total energy = -20.52 eV per cell


Entry 3:
NpMnB | PBE | relaxed

a = 3.3505 Å, b = 3.3958 Å, c = 6.9083 Å
α = 90.00°, β = 90.00°, γ = 90.00°
Atoms (fractional coordinates):
Np 0.2500 0.2500 0.0426
Np 0.7500 0.7500 0.9574
Mn 0.2500 0.7500 0.6184
Mn 0.7500 0.2500 0.3816
B 0.2500 0.7500 0.3218
B 0.7500 0.2500 0.6782

calculated total energy = -55.88 eV per cell


Entry 4:
RbGa12Au7 | PBE | relaxed

a = 6.3824 Å, b = 8.9001 Å, c = 8.9603 Å
α = 61.77°, β = 87.76°, γ = 69.09°
Atoms (fractional coordinates):
Rb 0.0000 0.0000 0.0000
Ga 0.0980 0.0927 0.5813
Ga 0.1844 0.4658 0.3661
Ga 0.3594 0.2098 0.0135
Ga 0.4234 0.6872 0.4616
Ga 0.4376 0.6914 0.8897
Ga 0.5134 0.0130 0.3724
Ga 0.5993 0.9726 0.6711
Ga 0.6488 0.2954 0.1504
Ga 0.6689 0.3047 0.5723
Ga 0.9135 0.5300 0.6928
Ga 0.9412 0.5741 0.0641
Ga 0.9987 0.8966 0.4232
Au 0.0348 0.7574 0.7607
Au 0.0785 0.2130 0.2417
Au 0.2854 0.2579 0.7016
Au 0.5374 0.5462 0.2429
Au 0.5489 0.4426 0.7930
Au 0.5559 0.8935 0.9966
Au 0.7938 0.7273 0.3373

calculated total energy = -63.46 eV per cell


Entry 5:
Er4Si2C | PBE | relaxed

a = 4.6223 Å, b = 4.6223 Å, c = 14.9397 Å
α = 90.00°, β = 90.00°, γ = 90.00°
Atoms (fractional coordinates):
Er 0.0000 0.0000 0.1682
Er 0.0000 0.0000 0.8318
Er 0.0000 0.5000 0.0000
Er 0.0000 0.5000 0.5000
Er 0.5000 0.0000 0.0000
Er 0.5000 0.0000 0.5000
Er 0.5000 0.5000 0.3318
Er 0.5000 0.5000 0.6682
Si 0.0000 0.0000 0.3639
Si 0.0000 0.0000 0.6361
Si 0.5000 0.5000 0.1361
Si 0.5000 0.5000 0.8639
C 0.0000 0.0000 0.0000
C 0.5000 0.5000 0.5000

energy above the lowest structure with this stoichiometry = 0.005 eV per atom
calculated total energy = -84.45 eV per cell
uncorrected formation energy = -376.5 kJ/mol of formula units


Entry 6:
MnPRhCl2 | PBE | relaxed

a = 4.5738 Å, b = 4.5738 Å, c = 4.7915 Å
α = 90.00°, β = 90.00°, γ = 90.00°
Atoms (fractional coordinates):
Mn 0.0000 0.0000 0.0000
P 0.0000 0.0000 0.5000
Rh 0.5000 0.5000 0.5000
Cl 0.0000 0.5000 0.0000
Cl 0.5000 0.0000 0.0000

energy above the lowest structure with this stoichiometry = 0.212 eV per atom
calculated total energy = -23.14 eV per cell
uncorrected formation energy = 240.0 kJ/mol of formula units


Entry 7:
RbCuS2O8 | PBE | relaxed

a = 9.0227 Å, b = 9.0227 Å, c = 9.0227 Å
α = 31.02°, β = 31.02°, γ = 31.02°
Atoms (fractional coordinates):
Rb 0.0000 0.0000 0.0000
Cu 0.5000 0.5000 0.5000
S 0.2328 0.2328 0.2328
S 0.7672 0.7672 0.7672
O 0.0925 0.5059 0.7587
O 0.2413 0.9075 0.4941
O 0.2900 0.2900 0.2900
O 0.4941 0.2413 0.9075
O 0.5059 0.7587 0.0925
O 0.7100 0.7100 0.7100
O 0.7587 0.0925 0.5059
O 0.9075 0.4941 0.2413

calculated total energy = -68.21 eV per cell
uncorrected formation energy = -1468.9 kJ/mol of formula units


Entry 8:
La4TbPm10 | PBE | relaxed

a = 8.8610 Å, b = 8.8610 Å, c = 8.8610 Å
α = 111.26°, β = 111.26°, γ = 105.95°
Atoms (fractional coordinates):
La 0.0575 0.6712 0.7288
La 0.3288 0.0575 0.3863
La 0.6712 0.9425 0.6137
La 0.9425 0.3288 0.2712
Tb 0.0000 0.0000 0.0000
Pm 0.1333 0.2231 0.6791
Pm 0.2231 0.5440 0.0898
Pm 0.2500 0.7500 0.5000
Pm 0.4542 0.1333 0.9102
Pm 0.4560 0.5458 0.6791
Pm 0.5440 0.4542 0.3209
Pm 0.5458 0.8667 0.0898
Pm 0.7500 0.2500 0.5000
Pm 0.7769 0.4560 0.9102
Pm 0.8667 0.7769 0.3209

calculated total energy = -67.26 eV per cell


Entry 9:
La3InSb | PBE | relaxed

a = 6.2423 Å, b = 6.2423 Å, c = 9.7916 Å
α = 112.45°, β = 112.45°, γ = 76.13°
Atoms (fractional coordinates):
La 0.0662 0.0662 0.2989
La 0.2962 0.2962 0.6877
La 0.3114 0.3114 0.1297
La 0.6886 0.6886 0.8703
La 0.7038 0.7038 0.3123
La 0.9338 0.9338 0.7011
In 0.3100 0.6900 0.5000
In 0.6900 0.3100 0.5000
Sb 0.2531 0.7469 0.0000
Sb 0.7469 0.2531 0.0000

energy above the lowest structure with this stoichiometry = 0.000 eV per atom
calculated total energy = -49.92 eV per cell
uncorrected formation energy = -320.1 kJ/mol of formula units


Entry 10:
La4Ho2Tm | PBE | relaxed

a = 12.7279 Å, b = 6.8580 Å, c = 13.7023 Å
α = 67.21°, β = 29.79°, γ = 83.00°
Atoms (fractional coordinates):
La 0.0007 0.5677 0.7874
La 0.0227 0.9773 0.1196
La 0.1304 0.3696 0.2273
La 0.3696 0.1304 0.2727
La 0.4626 0.6059 0.2493
La 0.5677 0.0007 0.6441
La 0.6059 0.4626 0.6823
La 0.9773 0.0227 0.8804
Ho 0.0647 0.5418 0.0010
Ho 0.2490 0.8574 0.1853
Ho 0.5418 0.0647 0.3926
Ho 0.8574 0.2490 0.7082
Tm 0.5018 0.5018 0.4982
Tm 0.7518 0.7518 0.7482

energy above the lowest structure with this stoichiometry = 0.000 eV per atom
calculated total energy = -65.68 eV per cell


Entry 11:
MnCoSe2 | PBE | relaxed

a = 3.7144 Å, b = 3.7144 Å, c = 17.3637 Å
α = 90.00°, β = 90.00°, γ = 120.00°
Atoms (fractional coordinates):
Mn 0.0000 0.0000 0.0000
Mn 0.3333 0.6667 0.6667
Mn 0.6667 0.3333 0.3333
Co 0.0000 0.0000 0.5000
Co 0.3333 0.6667 0.1667
Co 0.6667 0.3333 0.8333
Se 0.0000 0.0000 0.2420
Se 0.0000 0.0000 0.7580
Se 0.3333 0.6667 0.4246
Se 0.3333 0.6667 0.9087
Se 0.6667 0.3333 0.0913
Se 0.6667 0.3333 0.5754

energy above the lowest structure with this stoichiometry = 0.227 eV per atom
calculated total energy = -71.25 eV per cell
uncorrected formation energy = -48.8 kJ/mol of formula units


Entry 12:
CoNi2Pd6 | PBE | relaxed

a = 7.3468 Å, b = 7.3468 Å, c = 2.7404 Å
α = 90.00°, β = 90.00°, γ = 120.00°
Atoms (fractional coordinates):
Co 0.0000 0.0000 0.0000
Ni 0.3333 0.6667 0.2349
Ni 0.6667 0.3333 0.7651
Pd 0.0392 0.3542 0.7413
Pd 0.3149 0.9608 0.7413
Pd 0.3542 0.3149 0.2587
Pd 0.6458 0.6851 0.7413
Pd 0.6851 0.0392 0.2587
Pd 0.9608 0.6458 0.2587

energy above the lowest structure with this stoichiometry = 0.000 eV per atom
calculated total energy = -49.15 eV per cell


Entry 13:
AcZn2In | PBE | relaxed

a = 7.3199 Å, b = 7.3199 Å, c = 7.3199 Å
α = 90.00°, β = 90.00°, γ = 90.00°
Atoms (fractional coordinates):
Ac 0.0000 0.0000 0.0000
Ac 0.0000 0.5000 0.5000
Ac 0.5000 0.0000 0.5000
Ac 0.5000 0.5000 0.0000
Zn 0.2500 0.2500 0.2500
Zn 0.2500 0.2500 0.7500
Zn 0.2500 0.7500 0.2500
Zn 0.2500 0.7500 0.7500
Zn 0.7500 0.2500 0.2500
Zn 0.7500 0.2500 0.7500
Zn 0.7500 0.7500 0.2500
Zn 0.7500 0.7500 0.7500
In 0.0000 0.0000 0.5000
In 0.0000 0.5000 0.0000
In 0.5000 0.0000 0.0000
In 0.5000 0.5000 0.5000

calculated total energy = -41.89 eV per cell


Entry 14:
Ce3Pm2ScSe6 | PBE | relaxed

a = 9.2878 Å, b = 9.2878 Å, c = 8.3521 Å
α = 103.24°, β = 103.24°, γ = 25.71°
Atoms (fractional coordinates):
Ce 0.0000 0.0000 0.0000
Ce 0.3299 0.3299 0.6647
Ce 0.6701 0.6701 0.3353
Pm 0.3342 0.3342 0.1676
Pm 0.6658 0.6658 0.8324
Sc 0.0000 0.0000 0.5000
Se 0.1584 0.1584 0.5793
Se 0.1671 0.1671 0.0829
Se 0.4981 0.4981 0.7313
Se 0.5019 0.5019 0.2687
Se 0.8329 0.8329 0.9171
Se 0.8416 0.8416 0.4207

calculated total energy = -75.86 eV per cell
uncorrected formation energy = -2057.1 kJ/mol of formula units


Entry 15:
Y2AsIr | PBE | relaxed

a = 4.2821 Å, b = 3.8690 Å, c = 10.7214 Å
α = 90.00°, β = 90.00°, γ = 90.00°
Atoms (fractional coordinates):
Y 0.0000 0.0000 0.0000
Y 0.0000 0.5000 0.5000
Y 0.5000 0.0000 0.2797
Y 0.5000 0.5000 0.7797
As 0.5000 0.0000 0.5601
As 0.5000 0.5000 0.0601
Ir 0.0000 0.0000 0.7300
Ir 0.0000 0.5000 0.2300

calculated total energy = -61.54 eV per cell


Entry 16:
Sm2ThCu9 | PBE | relaxed

a = 5.2355 Å, b = 5.2355 Å, c = 16.8190 Å
α = 90.00°, β = 90.00°, γ = 120.00°
Atoms (fractional coordinates):
Sm 0.3333 0.6667 0.0382
Sm 0.3333 0.6667 0.4618
Sm 0.6667 0.3333 0.5382
Sm 0.6667 0.3333 0.9618
Th 0.3333 0.6667 0.2500
Th 0.6667 0.3333 0.7500
Cu 0.0000 0.0000 0.0000
Cu 0.0000 0.0000 0.2500
Cu 0.0000 0.0000 0.5000
Cu 0.0000 0.0000 0.7500
Cu 0.1662 0.3324 0.6286
Cu 0.1662 0.3324 0.8714
Cu 0.1662 0.8338 0.6286
Cu 0.1662 0.8338 0.8714
Cu 0.3324 0.1662 0.1286
Cu 0.3324 0.1662 0.3714
Cu 0.3333 0.6667 0.7500
Cu 0.6667 0.3333 0.2500
Cu 0.6676 0.8338 0.6286
Cu 0.6676 0.8338 0.8714
Cu 0.8338 0.1662 0.1286
Cu 0.8338 0.1662 0.3714
Cu 0.8338 0.6676 0.1286
Cu 0.8338 0.6676 0.3714

calculated total energy = -110.75 eV per cell


Entry 17:
NaY2Tl3 | PBE | relaxed

a = 3.7929 Å, b = 3.7929 Å, c = 11.5570 Å
α = 90.00°, β = 90.00°, γ = 90.00°
Atoms (fractional coordinates):
Na 0.0000 0.0000 0.0000
Y 0.0000 0.0000 0.3320
Y 0.0000 0.0000 0.6680
Tl 0.5000 0.5000 0.1727
Tl 0.5000 0.5000 0.5000
Tl 0.5000 0.5000 0.8273

calculated total energy = -23.00 eV per cell


Entry 18:
BaCoAu2 | PBE | relaxed

a = 4.9752 Å, b = 4.9752 Å, c = 3.8495 Å
α = 90.00°, β = 90.00°, γ = 90.00°
Atoms (fractional coordinates):
Ba 0.0000 0.0000 0.0000
Co 0.5000 0.5000 0.0000
Au 0.0000 0.5000 0.5000
Au 0.5000 0.0000 0.5000

energy above the lowest structure with this stoichiometry = 0.439 eV per atom
calculated total energy = -14.60 eV per cell


Entry 19:
CdHgS2Cl | PBE | relaxed

a = 5.0380 Å, b = 5.0380 Å, c = 5.1352 Å
α = 90.00°, β = 90.00°, γ = 90.00°
Atoms (fractional coordinates):
Cd 0.0000 0.0000 0.0000
Hg 0.5000 0.5000 0.5000
S 0.0000 0.5000 0.5000
S 0.5000 0.0000 0.5000
Cl 0.5000 0.5000 0.0000

energy above the lowest structure with this stoichiometry = 0.065 eV per atom
calculated total energy = -9.38 eV per cell
uncorrected formation energy = 187.4 kJ/mol of formula units


Entry 20:
NdHo2Sn | PBE | relaxed

a = 3.4758 Å, b = 3.4758 Å, c = 35.6234 Å
α = 90.00°, β = 90.00°, γ = 120.00°
Atoms (fractional coordinates):
Nd 0.0000 0.0000 0.0000
Nd 0.3333 0.6667 0.6667
Nd 0.6667 0.3333 0.3333
Ho 0.0000 0.0000 0.0959
Ho 0.0000 0.0000 0.9041
Ho 0.3333 0.6667 0.5708
Ho 0.3333 0.6667 0.7626
Ho 0.6667 0.3333 0.2374
Ho 0.6667 0.3333 0.4292
Sn 0.0000 0.0000 0.5000
Sn 0.3333 0.6667 0.1667
Sn 0.6667 0.3333 0.8333

energy above the lowest structure with this stoichiometry = 0.400 eV per atom
calculated total energy = -53.97 eV per cell